No. 1
A geometry-optimized Cs4HgPb2 structure, computed with GGA-PBE.

Output
As for the volume: 1048 Å³/cell. Its formation energy is -0.029 eV/atom. The total energy is -22.7 eV for the cell shown.

```
data_Cs4HgPb2
_space_group_name_H-M_alt 'I 4/m m m'
_space_group_IT_number 139
_space_group_name_Hall '-I 4 2'
_cell_length_a 7.5152
_cell_length_b 7.5152
_cell_length_c 18.5590
_cell_angle_alpha 90.00
_cell_angle_beta 90.00
_cell_angle_gamma 90.00
loop_
_atom_site_label
_atom_site_type_symbol
_atom_site_fract_x
_atom_site_fract_y
_atom_site_fract_z
Cs1 Cs 0.0000 0.0000 0.2134
Cs2 Cs 0.0000 0.5000 0.0000
Hg1 Hg 0.0000 0.0000 0.0000
Pb1 Pb 0.0000 0.0000 0.4218
```



No. 2
A geometry-optimized BaCdPt2C structure, computed with GGA-PBE.

Output
As for the volume: 97 Å³/cell. Its formation energy is 0.304 eV/atom. The total energy is -22.6 eV for the cell shown.

```
data_BaCdPt2C
_space_group_name_H-M_alt 'P 4/m m m'
_space_group_IT_number 123
_space_group_name_Hall '-P 4 2'
_cell_length_a 4.5990
_cell_length_b 4.5990
_cell_length_c 4.6034
_cell_angle_alpha 90.00
_cell_angle_beta 90.00
_cell_angle_gamma 90.00
loop_
_atom_site_label
_atom_site_type_symbol
_atom_site_fract_x
_atom_site_fract_y
_atom_site_fract_z
Ba1 Ba 0.0000 0.0000 0.0000
Cd1 Cd 0.5000 0.5000 0.0000
Pt1 Pt 0.0000 0.5000 0.5000
C1 C 0.5000 0.5000 0.5000
```